Record 1
{"formula": "Ba2TlBi2", "functional": "GGA-PBE", "state": "optimized geometry", "space_group": "P4/mbm, No. 127", "delta_e_f_ev_per_atom": -0.537, "polymorph_energy_mev_per_atom": 146, "dos_ef_per_ev_cell": 2.76, "magmom_total_mub_per_fu": 0.00, "e_tot_ev_per_cell": -33.3, "rho_g_cm3": 7.16, "cell": [[10.221, 0.000, 0.000], [0.000, 10.221, 0.000], [0.000, 0.000, 3.984]], "species": ["Bi", "Tl", "Ba", "Tl", "Bi", "Bi", "Bi", "Ba", "Ba", "Ba"], "frac_coords": [[0.166, 0.666, 0.500], [0.500, 0.500, 0.000], [0.634, 0.134, 0.000], [0.000, 0.000, 0.000], [0.666, 0.834, 0.500], [0.334, 0.166, 0.500], [0.834, 0.334, 0.500], [0.366, 0.866, 0.000], [0.134, 0.366, 0.000], [0.866, 0.634, 0.000]]}

---

Record 2
{"formula": "SrCoBr6", "functional": "GGA-PBE", "state": "optimized geometry", "space_group": "P-1, No. 2", "raw_formation_energy_ev_per_atom": -0.8051, "dos_ef_per_ev_cell": 8.53, "magmom_total_mub_per_fu": 1.03, "e_tot_ev_per_cell": -25.3, "rho_g_cm3": 4.33, "cell": [[6.745, 0.007, 0.001], [3.363, 5.861, 0.007], [3.355, 1.947, 6.077]], "species": ["Br", "Co", "Br", "Br", "Br", "Br", "Sr", "Br"], "frac_coords": [[0.810, 0.022, 0.775], [0.000, 0.000, 0.000], [0.022, 0.392, 0.775], [0.978, 0.608, 0.225], [0.392, 0.811, 0.775], [0.608, 0.189, 0.225], [0.500, 0.500, 0.500], [0.190, 0.978, 0.225]]}

---

Record 3
{"formula": "HoPuGa3", "functional": "GGA-PBE", "state": "optimized geometry", "space_group": "Cmcm, No. 63", "delta_e_f_ev_per_atom": -0.445, "dos_ef_per_ev_cell": 18.39, "magmom_total_mub_per_fu": 6.05, "e_tot_ev_per_cell": -60.4, "rho_g_cm3": 9.46, "cell": [[4.467, 0.000, 0.000], [0.000, 3.582, 0.000], [0.000, -1.791, 13.565]], "species": ["Pu", "Ga", "Ga", "Ga", "Ga", "Pu", "Ho", "Ga", "Ga", "Ho"], "frac_coords": [[0.250, 0.073, 0.146], [0.750, 0.524, 0.047], [0.750, 0.620, 0.239], [0.250, 0.476, 0.953], [0.750, 0.324, 0.649], [0.750, 0.927, 0.854], [0.250, 0.790, 0.581], [0.250, 0.676, 0.351], [0.250, 0.380, 0.761], [0.750, 0.210, 0.419]]}

---

Record 4
{"formula": "Ti5Co2CuPt2", "functional": "GGA-PBE", "state": "optimized geometry", "space_group": "P4/mbm, No. 127", "delta_e_f_ev_per_atom": -0.340, "dos_ef_per_ev_cell": 18.57, "magmom_total_mub_per_fu": 0.00, "e_tot_ev_per_cell": -146.5, "rho_g_cm3": 8.94, "cell": [[2.921, 0.000, 0.000], [0.000, 10.155, 0.000], [0.000, 0.000, 10.155]], "species": ["Cu", "Pt", "Ti", "Ti", "Ti", "Pt", "Ti", "Pt", "Ti", "Ti", "Ti", "Co", "Co", "Cu", "Pt", "Co", "Ti", "Ti", "Co", "Ti"], "frac_coords": [[0.000, 0.500, 0.500], [0.000, 0.668, 0.168], [0.500, 0.593, 0.691], [0.500, 0.691, 0.407], [0.500, 0.407, 0.309], [0.000, 0.832, 0.668], [0.500, 0.500, 0.000], [0.000, 0.332, 0.832], [0.500, 0.191, 0.093], [0.500, 0.309, 0.593], [0.500, 0.809, 0.907], [0.000, 0.368, 0.132], [0.000, 0.632, 0.868], [0.000, 0.000, 0.000], [0.000, 0.168, 0.332], [0.000, 0.868, 0.368], [0.500, 0.907, 0.191], [0.500, 0.000, 0.500], [0.000, 0.132, 0.632], [0.500, 0.093, 0.809]]}

---

Record 5
{"formula": "HoThIn", "functional": "GGA-PBE", "state": "optimized geometry", "space_group": "P6_3/mmc, No. 194", "delta_e_f_ev_per_atom": -0.269, "polymorph_energy_mev_per_atom": 0, "dos_ef_per_ev_cell": 8.17, "magmom_total_mub_per_fu": 0.00, "e_tot_ev_per_cell": -31.1, "rho_g_cm3": 9.84, "cell": [[-2.339, 3.200, -3.783], [-2.424, -0.715, 4.861], [3.283, 5.247, 2.409]], "species": ["In", "Th", "In", "Ho", "Th", "Ho"], "frac_coords": [[0.333, 0.167, 0.750], [0.000, 0.500, 0.000], [0.667, 0.833, 0.250], [0.333, 0.167, 0.250], [0.000, 0.500, 0.500], [0.667, 0.833, 0.750]]}

---

Record 6
{"formula": "TiGePd", "functional": "GGA-PBE", "state": "optimized geometry", "space_group": "Pnma, No. 62", "delta_e_f_ev_per_atom": -0.708, "dos_ef_per_ev_cell": 3.27, "magmom_total_mub_per_fu": 0.00, "e_tot_ev_per_cell": -79.3, "rho_g_cm3": 7.97, "cell": [[-0.968, 1.030, 3.613], [-6.188, -0.001, -1.659], [-0.523, -7.339, 1.952]], "species": ["Ge", "Ti", "Pd", "Pd", "Ti", "Pd", "Ti", "Pd", "Ge", "Ge", "Ti", "Ge"], "frac_coords": [[0.250, 0.242, 0.876], [0.250, 0.035, 0.184], [0.750, 0.856, 0.439], [0.250, 0.644, 0.939], [0.250, 0.535, 0.316], [0.250, 0.144, 0.561], [0.750, 0.965, 0.816], [0.750, 0.356, 0.061], [0.250, 0.742, 0.624], [0.750, 0.758, 0.124], [0.750, 0.465, 0.684], [0.750, 0.258, 0.376]]}